(1)
Here is crystalline ThMg2Au2 at its relaxed geometry from Alexandria. Energies are from GGA-PBE.

```
ThMg2Au2
1.0
4.870 0.000 0.000
0.000 5.208 -1.017
0.000 -1.953 9.300
Mg Au Th
4 4 2
direct
0.250 0.863 0.676
0.250 0.888 0.025
0.750 0.112 0.975
0.750 0.137 0.324
0.250 0.326 0.925
0.250 0.267 0.484
0.750 0.733 0.516
0.750 0.674 0.075
0.750 0.378 0.711
0.250 0.622 0.289
```

Summary:
energy above the most stable polymorph in this dataset: 0.09 eV per formula unit
total magnetic moment: 0.0 μB/f.u.
formation energy from the elements: -50.6 kJ per mole of atoms
DOS at the Fermi energy: 0.6013 states/eV per atom
SG: P2_1/m
volume: 226.16 Å³ per cell
uncorrected energy: -3.96 eV/atom

***

(2)
Here is crystalline ThMg4Au5 at its relaxed geometry from Alexandria. Energies are from GGA-PBE.

```
ThMg4Au5
1.0
3.386 0.000 0.000
0.000 3.386 0.000
0.000 0.000 17.015
Au Mg Th
5 4 1
direct
0.500 0.500 0.875
0.500 0.500 0.500
0.500 0.500 0.313
0.500 0.500 0.687
0.500 0.500 0.125
0.000 0.000 0.218
0.000 0.000 0.407
0.000 0.000 0.782
0.000 0.000 0.593
0.000 0.000 0.000
```

Summary:
total magnetic moment: 0.0 μB/f.u.
formation energy from the elements: -58.0 kJ per mole of atoms
DOS at the Fermi energy: 0.4750 states/eV per atom
SG: P4/mmm
volume: 195.06 Å³ per cell
uncorrected energy: -3.62 eV/atom

***

(3)
Here is crystalline ThMgAu4 at its relaxed geometry from Alexandria. Energies are from GGA-PBE.

```
ThMgAu4
1.0
-5.001 1.544 -2.097
-1.362 -1.326 -5.308
-3.957 -3.888 -1.008
Th Mg Au
1 1 4
direct
0.250 0.250 0.250
0.000 0.000 0.000
0.626 0.626 0.123
0.123 0.626 0.626
0.626 0.123 0.626
0.626 0.626 0.626
```

Summary:
energy above the most stable polymorph in this dataset: 0.39 eV per formula unit
total magnetic moment: 0.0 μB/f.u.
formation energy from the elements: -41.4 kJ per mole of atoms
DOS at the Fermi energy: 0.4029 states/eV per atom
SG: F-43m
volume: 126.73 Å³ per cell
uncorrected energy: -4.12 eV/atom

***

(4)
Here is crystalline ThMgAu4 at its relaxed geometry from Alexandria. Energies are from GGA-PBE.

```
ThMgAu4
1.0
4.499 0.000 -0.040
0.000 7.699 0.000
-2.196 0.000 7.416
Au Th Mg
8 2 2
direct
0.349 0.967 0.699
0.518 0.750 0.037
0.000 0.000 0.000
0.651 0.033 0.301
0.482 0.250 0.963
0.349 0.533 0.699
0.651 0.467 0.301
0.000 0.500 0.000
0.175 0.750 0.349
0.825 0.250 0.651
0.137 0.250 0.275
0.863 0.750 0.725
```

Summary:
energy above the most stable polymorph in this dataset: 0.00 eV per formula unit
total magnetic moment: 0.0 μB/f.u.
formation energy from the elements: -47.7 kJ per mole of atoms
DOS at the Fermi energy: 0.4083 states/eV per atom
SG: P2_1/m
volume: 256.20 Å³ per cell
uncorrected energy: -4.18 eV/atom

***

> The highest formation energy from the elements belongs to which entry?

number 3

***

> The highest DOS at the Fermi energy belongs to which entry?

ThMg2Au2

***

> What is the total magnetic moment in the first record?

0.0 μB/f.u.

***

> What is the formula in the fourth record?

ThMgAu4